First-principles (PBE) data for a relaxed PmYW crystal, as listed in OQMD via LeMat-Bulk.

energy of formation from the pure elements	870	meV per atom
final energy	-0.26411	hartree per atom
symmetry	F-43m (216)

Lattice parameters (Å, degrees): 4.9168 4.9168 4.9168 60.00 60.00 60.00
Closest atoms and distances in Å follow each position.
Atoms (fractional coordinates):
1 Pm 0.2500 0.2500 0.2500  4 W 3.01
2 W 0.0000 0.0000 0.0000  4 Y 3.01, 4 Pm 3.01
3 Y 0.7500 0.7500 0.7500  4 W 3.01

First-principles (PBE) data for a relaxed CsAuO crystal, as listed in OQMD via LeMat-Bulk.

final energy	-0.14126	hartree per atom
symmetry	Cmcm (63)

Lattice parameters (Å, degrees): 5.7628 5.7628 6.0472 90.00 90.00 117.09
Closest atoms and distances in Å follow each position.
Atoms (fractional coordinates):
1 Au 0.0000 0.0000 0.0000  2 O 2.04
2 Au 0.0000 0.0000 0.5000  2 O 2.04
3 Cs 0.3287 0.6713 0.2500  2 O 3.02
4 Cs 0.6713 0.3287 0.7500  2 O 3.02
5 O 0.8603 0.1397 0.2500  2 Au 2.04
6 O 0.1397 0.8603 0.7500  2 Au 2.04

First-principles (PBE) data for a relaxed ReI2F2 crystal, as listed in OQMD via LeMat-Bulk.

final energy	-0.17443	hartree per atom
symmetry	Immm (71)

Lattice parameters (Å, degrees): 6.6383 6.6383 6.6383 115.09 108.42 105.07
Closest atoms and distances in Å follow each position.
Atoms (fractional coordinates):
1 F 0.7471 0.2852 0.0323  1 Re 1.96
2 F 0.7471 0.7148 0.4619  1 Re 1.96
3 F 0.2529 0.2852 0.5381  1 Re 1.96
4 F 0.2529 0.7148 0.9677  1 Re 1.96
5 I 0.2214 0.2214 0.0000  2 Re 2.74
6 I 0.7786 0.7786 0.0000  2 Re 2.74
7 I 0.7268 0.2268 0.5000  2 Re 2.66
8 I 0.2732 0.7732 0.5000  2 Re 2.66
9 Re 0.0000 0.2914 0.2914  2 F 1.96
10 Re 0.0000 0.7086 0.7086  2 F 1.96

First-principles (PBE) data for a relaxed Pr3SmHo2Te2Pd crystal, as listed in OQMD via LeMat-Bulk.

final energy	-0.19341	hartree per atom
symmetry	Amm2 (38)

Lattice parameters (Å, degrees): 4.0761 8.6130 8.6130 120.36 90.00 90.00
Closest atoms and distances in Å follow each position.
Atoms (fractional coordinates):
1 Ho 0.5000 0.7586 0.0007  2 Pd 2.88
2 Ho 0.5000 0.0007 0.7586  2 Pd 2.88
3 Pd 0.0000 0.9896 0.9896  4 Ho 2.88, 2 Sm 2.98
4 Pr 0.0000 0.4082 0.0015  4 Te 3.29-3.31, 1 Pd 3.55, 4 Ho 3.64-3.66, 2 Sm 3.67
5 Pr 0.0000 0.0015 0.4082  4 Te 3.29-3.31, 1 Pd 3.55, 4 Ho 3.64-3.66, 2 Sm 3.67
6 Pr 0.0000 0.5928 0.5928  4 Te 3.33, 1 Pd 3.40, 2 Sm 3.62, 4 Ho 3.67
7 Sm 0.5000 0.2438 0.2438  2 Pd 2.98
8 Te 0.5000 0.6705 0.3344  6 Pr 3.29-3.33, 2 Ho 3.31-3.32, 1 Sm 3.35
9 Te 0.5000 0.3344 0.6705  6 Pr 3.29-3.33, 2 Ho 3.31-3.32, 1 Sm 3.35

First-principles (PBE) data for a relaxed ThReSi crystal, as listed in OQMD via LeMat-Bulk.

final energy	-0.30527	hartree per atom
symmetry	F-43m (216)

Lattice parameters (Å, degrees): 4.5547 4.5547 4.5547 60.00 60.00 60.00
Closest atoms and distances in Å follow each position.
Atoms (fractional coordinates):
1 Re 0.0000 0.0000 0.0000  4 Si 2.79, 4 Th 2.79
2 Si 0.7500 0.7500 0.7500  4 Re 2.79
3 Th 0.2500 0.2500 0.2500  4 Re 2.79

First-principles (PBE) data for a relaxed DyCuTe3Pb crystal, as listed in OQMD via LeMat-Bulk.

final energy	-0.15706	hartree per atom
symmetry	P2_1/m (11)

Lattice parameters (Å, degrees): 8.3563 4.2884 10.6052 90.00 105.99 90.00
Closest atoms and distances in Å follow each position.
Atoms (fractional coordinates):
1 Cu 0.4234 0.7500 0.4116  4 Te 2.67-2.74, 2 Cu 2.90
2 Cu 0.5766 0.2500 0.5884  4 Te 2.67-2.74, 2 Cu 2.90
3 Dy 0.1998 0.2500 0.1683  6 Te 3.02-3.13
4 Dy 0.8002 0.7500 0.8317  6 Te 3.02-3.13
5 Pb 0.7589 0.2500 0.3008  6 Te 3.29-3.32
6 Pb 0.2411 0.7500 0.6992  6 Te 3.29-3.32
7 Te 0.9252 0.7500 0.1380  3 Dy 3.09-3.13, 2 Pb 3.29
8 Te 0.4565 0.7500 0.1685  1 Cu 2.67
9 Te 0.2458 0.2500 0.4606  3 Cu 2.72-2.74, 1 Dy 3.02
10 Te 0.7542 0.7500 0.5394  3 Cu 2.72-2.74, 1 Dy 3.02
11 Te 0.5435 0.2500 0.8315  1 Cu 2.67
12 Te 0.0748 0.2500 0.8620  3 Dy 3.09-3.13, 2 Pb 3.29

What did the fifth record say?
First-principles (PBE) data for a relaxed ThReSi crystal, as listed in OQMD via LeMat-Bulk.

final energy	-0.30527	hartree per atom
symmetry	F-43m (216)

Lattice parameters (Å, degrees): 4.5547 4.5547 4.5547 60.00 60.00 60.00
Closest atoms and distances in Å follow each position.
Atoms (fractional coordinates):
1 Re 0.0000 0.0000 0.0000  4 Si 2.79, 4 Th 2.79
2 Si 0.7500 0.7500 0.7500  4 Re 2.79
3 Th 0.2500 0.2500 0.2500  4 Re 2.79